a.
{"formula": "LiLaHg2Pb", "functional": "PBE-GGA", "state": "relaxed", "spacegroup": "No. 123", "m_tot_mub_per_cell": 0.0, "dos_ef_per_ev_cell": 2.4, "lattice": [[4.948, 0.000, 0.000], [0.000, 4.948, 0.000], [0.000, 0.000, 5.254]], "species": ["Li", "La", "Hg", "Hg", "Pb"], "fractional_positions": [[0.000, 0.000, 0.000], [0.500, 0.500, 0.500], [0.000, 0.500, 0.000], [0.500, 0.000, 0.000], [0.000, 0.000, 0.500]]}

=====

b.
{"formula": "LiLaHg2Pb", "functional": "PBE-GGA", "state": "relaxed", "spacegroup": "No. 123", "m_tot_mub_per_cell": 0.8, "dos_ef_per_ev_cell": 7.6, "lattice": [[5.840, 0.000, 0.000], [0.000, 5.840, 0.000], [0.000, 0.000, 5.782]], "species": ["Li", "La", "Hg", "Hg", "Pb"], "fractional_positions": [[0.000, 0.000, 0.000], [0.000, 0.000, 0.500], [0.000, 0.500, 0.500], [0.500, 0.000, 0.500], [0.500, 0.500, 0.000]]}

=====

Stability ranking, top entry: a; the second entry is 924 meV/atom less favorable.

=====

a.
{"formula": "LiLa2HgPt", "functional": "PBE-GGA", "state": "relaxed", "spacegroup": "No. 11", "m_tot_mub_per_cell": 0.0, "dos_ef_per_ev_cell": 10.0, "lattice": [[7.829, 0.000, 0.000], [0.000, 4.560, 0.000], [-2.639, 0.000, 7.419]], "species": ["Li", "Li", "La", "La", "La", "La", "Hg", "Hg", "Pt", "Pt"], "fractional_positions": [[0.156, 0.250, 0.056], [0.844, 0.750, 0.944], [0.161, 0.750, 0.391], [0.461, 0.250, 0.786], [0.539, 0.750, 0.214], [0.839, 0.250, 0.609], [0.161, 0.750, 0.831], [0.839, 0.250, 0.169], [0.407, 0.250, 0.382], [0.593, 0.750, 0.618]]}

=====

b.
{"formula": "LiLa2HgPt", "functional": "PBE-GGA", "state": "relaxed", "spacegroup": "No. 123", "m_tot_mub_per_cell": 0.0, "dos_ef_per_ev_cell": 6.1, "lattice": [[5.630, 0.000, 0.000], [0.000, 5.630, 0.000], [0.000, 0.000, 4.777]], "species": ["Li", "La", "La", "Hg", "Pt"], "fractional_positions": [[0.000, 0.000, 0.000], [0.000, 0.500, 0.500], [0.500, 0.000, 0.500], [0.500, 0.500, 0.000], [0.000, 0.000, 0.500]]}

=====

Stability ranking, top entry: a; the second entry is 169 meV/atom less favorable.

=====

a.
{"formula": "LiLa2HgRu", "functional": "PBE-GGA", "state": "relaxed", "spacegroup": "No. 123", "m_tot_mub_per_cell": 0.0, "dos_ef_per_ev_cell": 3.6, "lattice": [[5.313, 0.000, 0.000], [0.000, 5.313, 0.000], [0.000, 0.000, 5.032]], "species": ["Li", "La", "La", "Hg", "Ru"], "fractional_positions": [[0.000, 0.000, 0.000], [0.000, 0.500, 0.500], [0.500, 0.000, 0.500], [0.500, 0.500, 0.000], [0.000, 0.000, 0.500]]}

=====

b.
{"formula": "LiLa2HgRu", "functional": "PBE-GGA", "state": "relaxed", "spacegroup": "No. 123", "m_tot_mub_per_cell": 0.0, "dos_ef_per_ev_cell": 5.2, "lattice": [[5.348, 0.000, 0.000], [0.000, 5.348, 0.000], [0.000, 0.000, 5.463]], "species": ["Li", "La", "La", "Hg", "Ru"], "fractional_positions": [[0.000, 0.000, 0.000], [0.000, 0.500, 0.500], [0.500, 0.000, 0.500], [0.500, 0.500, 0.000], [0.500, 0.500, 0.500]]}

=====

Stability ranking, top entry: a; the second entry is 63 meV/atom less favorable.